Arrangement A

Zn5Ga | PBE | optimized geometry

The space group is P4/mmm (No. 123) and the conventional cell measures 2.8376, 2.8376 and 11.6913 Å, with angles of 90.00, 90.00 and 90.00 degrees. The distinct sites, in fractional coordinates, are Zn at (0.0000, 0.0000, 0.0000), Zn at (0.0000, 0.0000, 0.3241), Zn at (0.5000, 0.5000, 0.1604) and Ga at (0.5000, 0.5000, 0.5000).

The calculation puts the magnetization at 0.0000 μB per atom. The volume is 15.7 Å³ per atom. Its calculated density is 7.00 g/cm³.

---

Arrangement B

Zn5Ga | PBE | optimized geometry

The space group is Cmmm (No. 65) and the conventional cell measures 3.9421, 12.0094 and 3.9579 Å, with angles of 90.00, 90.00 and 90.00 degrees. The distinct sites, in fractional coordinates, are Zn at (0.0000, 0.0000, 0.0000), Zn at (0.0000, 0.1696, 0.5000), Zn at (0.0000, 0.3310, 0.0000) and Ga at (0.0000, 0.5000, 0.5000).

The calculation puts the magnetization at 0.0000 μB per atom. The volume is 15.6 Å³ per atom. Its calculated density is 7.03 g/cm³.

---

Which structure loses on stability? arrangement B does.

---

Arrangement A

Zn4Ga3 | PBE | optimized geometry

The space group is Immm (No. 71) and the conventional cell measures 2.7849, 3.8994 and 21.3641 Å, with angles of 90.00, 90.00 and 90.00 degrees. The distinct sites, in fractional coordinates, are Zn at (0.0000, 0.0000, 0.0727), Zn at (0.0000, 0.0000, 0.2175), Ga at (0.0000, 0.0000, 0.3551) and Ga at (0.0000, 0.0000, 0.5000).

The calculation puts the magnetization at 0.0000 μB per atom. The volume is 16.6 Å³ per atom. Its calculated density is 6.74 g/cm³.

---

Arrangement B

Zn4Ga3 | PBE | optimized geometry

The space group is P6/mmm (No. 191) and the conventional cell measures 5.2630, 5.2630 and 5.2023 Å, with angles of 90.00, 90.00 and 120.00 degrees. The distinct sites, in fractional coordinates, are Zn at (0.0000, 0.0000, 0.2362), Zn at (0.3333, 0.6667, 0.0000) and Ga at (0.0000, 0.5000, 0.5000).

The calculation puts the magnetization at 0.0000 μB per atom. The volume is 17.8 Å³ per atom. Its calculated density is 6.26 g/cm³.

---

Which structure loses on stability? arrangement B does.

---

Arrangement A

ZnGa5 | PBE | optimized geometry

The space group is Cmmm (No. 65) and the conventional cell measures 4.0501, 13.0838 and 4.1216 Å, with angles of 90.00, 90.00 and 90.00 degrees. The distinct sites, in fractional coordinates, are Zn at (0.0000, 0.0000, 0.0000), Ga at (0.0000, 0.1631, 0.5000), Ga at (0.0000, 0.3369, 0.0000) and Ga at (0.0000, 0.5000, 0.5000).

The calculation puts the magnetization at 0.0000 μB per atom. The volume is 18.2 Å³ per atom. Its calculated density is 6.30 g/cm³.

---

Arrangement B

ZnGa5 | PBE | optimized geometry

The space group is P6/mmm (No. 191) and the conventional cell measures 5.2301, 5.2301 and 5.1617 Å, with angles of 90.00, 90.00 and 120.00 degrees. The distinct sites, in fractional coordinates, are Zn at (0.0000, 0.0000, 0.0000), Ga at (0.0000, 0.5000, 0.5000) and Ga at (0.3333, 0.6667, 0.0000).

The calculation puts the magnetization at 0.0000 μB per atom. The volume is 20.4 Å³ per atom. Its calculated density is 5.62 g/cm³.

---

Which structure loses on stability? arrangement B does.

---

Arrangement A

Zn2Ga5 | PBE | optimized geometry

The space group is R-3m (No. 166, hexagonal axes) and the conventional cell measures 4.8181, 4.8181 and 19.1202 Å, with angles of 90.00, 90.00 and 120.00 degrees. The distinct sites, in fractional coordinates, are Zn at (0.0000, 0.0000, 0.1427), Ga at (0.0000, 0.0000, 0.0000), Ga at (0.0000, 0.0000, 0.2848) and Ga at (0.0000, 0.0000, 0.4278).

The calculation puts the magnetization at 0.0000 μB per atom. The volume is 18.3 Å³ per atom. Its calculated density is 6.21 g/cm³.

---

Arrangement B

Zn2Ga5 | PBE | optimized geometry

The space group is C2/c (No. 15) and the conventional cell measures 13.4419, 3.1719 and 12.5536 Å, with angles of 90.00, 111.05 and 90.00 degrees. The distinct sites, in fractional coordinates, are Zn at (0.0684, 0.0860, 0.1082), Ga at (0.0000, 0.4363, 0.7500), Ga at (0.1408, 0.3879, 0.4711) and Ga at (0.2124, 0.1321, 0.8208).

The calculation puts the magnetization at 0.0000 μB per atom. The volume is 17.8 Å³ per atom. Its calculated density is 6.37 g/cm³.

---

Which structure loses on stability? arrangement A does.

---

Arrangement A

Zn7Ga | PBE | optimized geometry

The space group is Fm-3m (No. 225) and the conventional cell measures 7.9185, 7.9185 and 7.9185 Å, with angles of 90.00, 90.00 and 90.00 degrees. The distinct sites, in fractional coordinates, are Zn at (0.0000, 0.0000, 0.0000), Zn at (0.0000, 0.2500, 0.2500) and Ga at (0.0000, 0.0000, 0.5000).

The calculation puts the magnetization at 0.0000 μB per atom. The volume is 15.5 Å³ per atom. Its calculated density is 7.06 g/cm³.

---

Arrangement B

Zn7Ga | PBE | optimized geometry

The space group is I4/mmm (No. 139) and the conventional cell measures 3.9391, 3.9391 and 15.9908 Å, with angles of 90.00, 90.00 and 90.00 degrees. The distinct sites, in fractional coordinates, are Zn at (0.0000, 0.0000, 0.0000), Zn at (0.0000, 0.0000, 0.2507), Zn at (0.0000, 0.5000, 0.1271) and Ga at (0.0000, 0.0000, 0.5000).

The calculation puts the magnetization at 0.0000 μB per atom. The volume is 15.5 Å³ per atom. Its calculated density is 7.06 g/cm³.

---

Which structure loses on stability? arrangement A does.

---

Arrangement A

Zn3Ga4 | PBE | optimized geometry

The space group is P-43m (No. 215) and the conventional cell measures 6.1967, 6.1967 and 6.1967 Å, with angles of 90.00, 90.00 and 90.00 degrees. The distinct sites, in fractional coordinates, are Zn at (0.0000, 0.0000, 0.5000) and Ga at (0.1636, 0.1636, 0.1636).

The calculation puts the magnetization at 0.0000 μB per atom. The volume is 34.0 Å³ per atom. Its calculated density is 3.32 g/cm³.

---

Arrangement B

Zn3Ga4 | PBE | optimized geometry

The space group is R-3 (No. 148, hexagonal axes) and the conventional cell measures 12.2890, 12.2890 and 5.6760 Å, with angles of 90.00, 90.00 and 120.00 degrees. The distinct sites, in fractional coordinates, are Zn at (0.0450, 0.2472, 0.2816), Ga at (0.0000, 0.0000, 0.0000), Ga at (0.0000, 0.0000, 0.5000) and Ga at (0.0432, 0.2321, 0.7832).

The calculation puts the magnetization at 0.0000 μB per atom. The volume is 17.7 Å³ per atom. Its calculated density is 6.38 g/cm³.

---

Which structure loses on stability? arrangement A does.